A plane-wave DFT calculation with PBE-GGA was carried out for crystalline Ce2LuAl at its relaxed geometry.

The space group is No. 225. The raw total energy is -5.024 eV/atom. The value obtained for the formation enthalpy at 0 K is 0.009 eV per atom. The calculation puts the density of states at the Fermi level at 12.19 states/eV/f.u. Its energy above the most stable polymorph in this dataset is 164 meV per atom.

Lattice parameters (Å, degrees): 5.3264 5.3264 5.3264 60.00 60.00 60.00
Site moments in Bohr magnetons follow the coordinates.
Positions (direct):
1 Lu 0.5000 0.5000 0.5000  0.25
2 Al 0.0000 0.0000 0.0000  -0.01
3 Ce 0.2500 0.2500 0.2500  0.71
4 Ce 0.7500 0.7500 0.7500  0.71

A plane-wave DFT calculation with PBE-GGA was carried out for crystalline CeLuAl2 at its relaxed geometry.

The space group is No. 123. The raw total energy is -4.829 eV/atom. The value obtained for the formation enthalpy at 0 K is -0.344 eV per atom. The calculation puts the density of states at the Fermi level at 3.68 states/eV/f.u.

Lattice parameters (Å, degrees): 3.3196 3.3196 8.2551 90.00 90.00 90.00
Site moments in Bohr magnetons follow the coordinates.
Positions (direct):
1 Lu 0.5000 0.5000 0.0000  -0.01
2 Al 0.0000 0.0000 0.7599  0.00
3 Al 0.0000 0.0000 0.2401  0.00
4 Ce 0.5000 0.5000 0.5000  0.12

A plane-wave DFT calculation with PBE-GGA was carried out for crystalline Ce2LuAl at its relaxed geometry.

The space group is No. 123. The raw total energy is -5.188 eV/atom. The value obtained for the formation enthalpy at 0 K is -0.155 eV per atom. The calculation puts the density of states at the Fermi level at 8.64 states/eV/f.u. Its energy above the most stable polymorph in this dataset is 0 meV per atom.

Lattice parameters (Å, degrees): 5.0053 4.4903 4.4903 90.00 90.00 90.00
Site moments in Bohr magnetons follow the coordinates.
Positions (direct):
1 Lu 0.5000 0.5000 0.5000  0.06
2 Al 0.5000 0.0000 0.0000  -0.01
3 Ce 0.0000 0.0000 0.5000  0.48
4 Ce 0.0000 0.5000 0.0000  0.48

A plane-wave DFT calculation with PBE-GGA was carried out for crystalline CeLuAlPb at its relaxed geometry.

The space group is No. 216. The raw total energy is -4.746 eV/atom. The value obtained for the formation enthalpy at 0 K is -0.269 eV per atom. The calculation puts the density of states at the Fermi level at 7.52 states/eV/f.u.

Lattice parameters (Å, degrees): 5.3017 5.3017 5.3017 60.00 60.00 60.00
Site moments in Bohr magnetons follow the coordinates.
Positions (direct):
1 Pb 0.5000 0.5000 0.5000  0.00
2 Lu 0.2500 0.2500 0.2500  0.05
3 Al 0.0000 0.0000 0.0000  0.00
4 Ce 0.7500 0.7500 0.7500  0.71